DFT (PBE) results for an optimized crystal structure of YAgF3.

Properties
Its formation energy without anion corrections is -150.4 kJ/mol of atoms. The density comes out at 4.7 Mg/m³. Its density of states at the Fermi level is 2.671 states/eV per cell. The value obtained for the distance to the lowest polymorph of the same formula is 1.221 eV per atom. As for the symmetry: No. 221.

abc: 4.465 4.465 4.465
angles: 90.00 90.00 90.00
Sites, in units of the cell vectors:
Y: 0.000 0.000 0.000
Ag: 0.500 0.500 0.500
F: 0.000 0.500 0.500
F: 0.500 0.000 0.500
F: 0.500 0.500 0.000